1.
5
Lattice="-2.803 -0.583 -4.289 -2.468 -4.051 2.164 -3.574 3.194 1.902" Properties=species:S:1:pos:R:3 comment="TaCdMoBr2 (PBE, relaxed)" magnetic_moment_mub_per_atom=0.53 sg="P4/mmm, No. 123" total_energy_ev_per_atom=-4.58 pbc="T T T"
Mo -1.234 -2.025 1.082
Cd -4.423 -0.720 -0.111
Br -1.787 1.597 0.951
Br -1.402 -0.291 -2.144
Ta 0.000 0.000 0.000

---

2.
5
Lattice="4.771 0.000 0.000 0.000 4.121 0.000 0.000 0.000 4.771" Properties=species:S:1:pos:R:3 comment="ScNbZn2Co (PBE, relaxed)" magnetic_moment_mub_per_atom=0.00 sg="P4/mmm, No. 123" delta_e_f_ev_per_atom=1.1123 total_energy_ev_per_atom=-4.10 pbc="T T T"
Sc 0.000 0.000 0.000
Nb 2.386 2.061 2.386
Co 0.000 2.061 0.000
Zn 0.000 0.000 2.386
Zn 2.386 0.000 0.000